(1)
Material: La5Ru
Method: DFT, SCAN
State: single point on PBEsol structure

a = 5.918 Å, b = 5.918 Å, c = 5.928 Å
α = 90.00°, β = 90.00°, γ = 120.00°
Sites, in units of the cell vectors:
La1 0.667 0.333 0.000
La2 0.333 0.667 0.000
La3 0.500 0.000 0.500
La4 0.500 0.500 0.500
La5 0.000 0.500 0.500
Ru1 0.000 0.000 0.000

Values from the calculation:
Energy of formation from the pure elements = 5.183 eV per formula unit
Space group = P6/mmm, No. 191
Calculated volume = 179.8 Å³/f.u.
Electronic total energy = -245.169 eV per cell
Distance to the lowest polymorph of the same formula = 0.979 eV per atom
Magnetic moment = 0.00 μB/f.u.

=====

(2)
Material: KZrAlBr2
Method: DFT, SCAN
State: single point on PBEsol structure

a = 5.470 Å, b = 5.470 Å, c = 5.680 Å
α = 90.00°, β = 90.00°, γ = 90.00°
Sites, in units of the cell vectors:
Zr1 0.500 0.500 0.500
K1 0.000 0.000 0.000
Al1 0.000 0.000 0.500
Br1 0.000 0.500 0.000
Br2 0.500 0.000 0.000

Values from the calculation:
Space group = P4/mmm, No. 123
Calculated volume = 169.9 Å³/f.u.
Electronic total energy = -82.864 eV per cell
Magnetic moment = 1.91 μB/f.u.
Formation energy from raw total energies = 0.567 eV per atom

=====

(3)
Material: BeAsIr2
Method: DFT, SCAN
State: single point on PBEsol structure

a = 3.554 Å, b = 3.554 Å, c = 4.868 Å
α = 111.41°, β = 111.41°, γ = 90.00°
Sites, in units of the cell vectors:
Ir1 0.000 0.000 0.000
Ir2 0.750 0.250 0.500
Be1 0.250 0.750 0.500
As1 0.500 0.500 0.000

Values from the calculation:
Energy of formation from the pure elements = 0.168 eV per formula unit
Space group = I-4m2, No. 119
Calculated volume = 52.7 Å³/f.u.
Electronic total energy = -166.575 eV per cell
Distance to the lowest polymorph of the same formula = 0.228 eV per atom
Magnetic moment = 0.00 μB/f.u.

=====

(4)
Material: RuPtCl
Method: DFT, SCAN
State: single point on PBEsol structure

a = 3.592 Å, b = 3.592 Å, c = 5.119 Å
α = 90.00°, β = 90.00°, γ = 120.00°
Sites, in units of the cell vectors:
Ru1 0.333 0.667 0.331
Pt1 0.667 0.333 0.583
Cl1 0.000 0.000 0.086

Values from the calculation:
Space group = P3m1, No. 156
Calculated volume = 57.2 Å³/f.u.
Electronic total energy = -111.952 eV per cell
Distance to the lowest polymorph of the same formula = 0.000 eV per atom
Magnetic moment = 1.00 μB/f.u.
Formation energy from raw total energies = 0.348 eV per atom

=====

(5)
Material: Ti2BeB
Method: DFT, SCAN
State: single point on PBEsol structure

a = 3.984 Å, b = 3.984 Å, c = 3.984 Å
α = 60.00°, β = 60.00°, γ = 60.00°
Sites, in units of the cell vectors:
B1 0.500 0.500 0.500
Be1 0.000 0.000 0.000
Ti1 0.750 0.750 0.750
Ti2 0.250 0.250 0.250

Values from the calculation:
Energy of formation from the pure elements = -0.479 eV per formula unit
Space group = Fm-3m, No. 225
Calculated volume = 44.7 Å³/f.u.
Electronic total energy = -44.322 eV per cell
Magnetic moment = 0.00 μB/f.u.

=====

(6)
Material: Y3Ni
Method: DFT, SCAN
State: single point on PBEsol structure

a = 3.813 Å, b = 5.009 Å, c = 5.009 Å
α = 89.95°, β = 90.00°, γ = 90.00°
Sites, in units of the cell vectors:
Y1 0.500 0.500 0.000
Y2 0.500 0.000 0.500
Y3 0.000 0.500 0.500
Ni1 0.000 0.000 0.000

Values from the calculation:
Energy of formation from the pure elements = 0.727 eV per formula unit
Space group = P4/mmm, No. 123
Calculated volume = 95.7 Å³/f.u.
Electronic total energy = -98.975 eV per cell
Magnetic moment = 0.01 μB/f.u.

=====

(7)
Material: CuSeCl2
Method: DFT, SCAN
State: single point on PBEsol structure

a = 3.545 Å, b = 3.545 Å, c = 7.111 Å
α = 104.43°, β = 104.43°, γ = 90.00°
Sites, in units of the cell vectors:
Se1 0.250 0.750 0.500
Cl1 0.000 0.000 0.000
Cl2 0.750 0.250 0.500
Cu1 0.500 0.500 0.000

Values from the calculation:
Space group = I-4m2, No. 119
Calculated volume = 83.6 Å³/f.u.
Electronic total energy = -50.749 eV per cell
Magnetic moment = 0.00 μB/f.u.
Formation energy from raw total energies = 0.121 eV per atom

=====

(8)
Material: Sc2BeP
Method: DFT, SCAN
State: single point on PBEsol structure

a = 3.716 Å, b = 3.716 Å, c = 5.376 Å
α = 110.22°, β = 110.22°, γ = 90.00°
Sites, in units of the cell vectors:
Sc1 0.000 0.000 0.000
Sc2 0.750 0.250 0.500
Be1 0.500 0.500 0.000
P1 0.250 0.750 0.500

Values from the calculation:
Energy of formation from the pure elements = -2.116 eV per formula unit
Space group = I-4m2, No. 119
Calculated volume = 64.8 Å³/f.u.
Electronic total energy = -45.342 eV per cell
Distance to the lowest polymorph of the same formula = 0.407 eV per atom
Magnetic moment = 0.00 μB/f.u.

=====

(9)
Material: Ho3NiGe2
Method: DFT, SCAN
State: single point on PBEsol structure

a = 4.098 Å, b = 11.038 Å, c = 11.178 Å
α = 90.00°, β = 90.00°, γ = 90.00°
Sites, in units of the cell vectors:
Ho1 0.750 0.197 0.280
Ho2 0.750 0.872 0.444
Ho3 0.250 0.441 0.381
Ho4 0.250 0.803 0.720
Ho5 0.750 0.628 0.944
Ho6 0.250 0.372 0.056
Ho7 0.250 0.059 0.881
Ho8 0.250 0.128 0.556
Ho9 0.750 0.941 0.119
Ho10 0.250 0.697 0.220
Ho11 0.750 0.559 0.619
Ho12 0.750 0.303 0.780
Ge1 0.250 0.499 0.808
Ge2 0.250 0.687 0.482
Ge3 0.250 0.813 0.982
Ge4 0.750 0.187 0.018
Ge5 0.750 0.999 0.692
Ge6 0.750 0.501 0.192
Ge7 0.750 0.313 0.518
Ge8 0.250 0.001 0.308
Ni1 0.750 0.869 0.871
Ni2 0.750 0.631 0.371
Ni3 0.250 0.369 0.629
Ni4 0.250 0.131 0.129

Values from the calculation:
Energy of formation from the pure elements = -5.216 eV per formula unit
Space group = Pnma, No. 62
Calculated volume = 126.4 Å³/f.u.
Electronic total energy = -826.111 eV per cell
Magnetic moment = 0.00 μB/f.u.

=====

(10)
Material: YSc3Ge
Method: DFT, SCAN
State: single point on PBEsol structure

a = 5.027 Å, b = 5.027 Å, c = 5.027 Å
α = 90.00°, β = 90.00°, γ = 90.00°
Sites, in units of the cell vectors:
Sc1 0.000 0.000 0.500
Sc2 0.500 0.000 0.000
Sc3 0.000 0.500 0.000
Y1 0.000 0.000 0.000
Ge1 0.500 0.500 0.500

Values from the calculation:
Energy of formation from the pure elements = 5.656 eV per formula unit
Space group = Pm-3m, No. 221
Calculated volume = 127.1 Å³/f.u.
Electronic total energy = -83.986 eV per cell
Magnetic moment = 0.00 μB/f.u.

=====

(11)
Material: InPdAu3
Method: DFT, SCAN
State: single point on PBEsol structure

a = 4.983 Å, b = 4.983 Å, c = 4.983 Å
α = 90.00°, β = 90.00°, γ = 90.00°
Sites, in units of the cell vectors:
Au1 0.500 0.000 0.000
Au2 0.000 0.000 0.500
Au3 0.000 0.500 0.000
In1 0.000 0.000 0.000
Pd1 0.500 0.500 0.500

Values from the calculation:
Energy of formation from the pure elements = 4.329 eV per formula unit
Space group = Pm-3m, No. 221
Calculated volume = 123.8 Å³/f.u.
Electronic total energy = -269.303 eV per cell
Magnetic moment = 0.00 μB/f.u.

=====

(12)
Material: ZrMo2Ru
Method: DFT, SCAN
State: single point on PBEsol structure

a = 2.808 Å, b = 2.808 Å, c = 8.733 Å
α = 90.00°, β = 90.00°, γ = 111.29°
Sites, in units of the cell vectors:
Ru1 0.000 0.000 0.510
Zr1 0.500 0.500 0.257
Mo1 0.500 0.500 0.747
Mo2 0.000 0.000 0.986

Values from the calculation:
Energy of formation from the pure elements = 0.249 eV per formula unit
Space group = Cmm2, No. 35
Calculated volume = 64.1 Å³/f.u.
Electronic total energy = -135.047 eV per cell
Distance to the lowest polymorph of the same formula = 0.038 eV per atom
Magnetic moment = 0.00 μB/f.u.

=====

(13)
Material: Y2SnHg2
Method: DFT, SCAN
State: single point on PBEsol structure

a = 4.399 Å, b = 7.495 Å, c = 7.495 Å
α = 90.00°, β = 90.00°, γ = 90.00°
Sites, in units of the cell vectors:
Hg1 0.000 0.632 0.132
Hg2 0.000 0.868 0.632
Hg3 0.000 0.368 0.868
Hg4 0.000 0.132 0.368
Sn1 0.000 0.500 0.500
Sn2 0.000 0.000 0.000
Y1 0.500 0.830 0.330
Y2 0.500 0.330 0.170
Y3 0.500 0.170 0.670
Y4 0.500 0.670 0.830

Values from the calculation:
Energy of formation from the pure elements = -3.620 eV per formula unit
Space group = P4/mbm, No. 127
Calculated volume = 123.6 Å³/f.u.
Electronic total energy = -463.117 eV per cell
Magnetic moment = 0.00 μB/f.u.

=====

(14)
Material: IrPb2Au
Method: DFT, SCAN
State: single point on PBEsol structure

a = 3.150 Å, b = 4.921 Å, c = 6.204 Å
α = 113.37°, β = 104.71°, γ = 90.00°
Sites, in units of the cell vectors:
Pb1 0.963 0.963 0.927
Pb2 0.758 0.258 0.515
Ir1 0.243 0.743 0.487
Au1 0.536 0.536 0.071

Values from the calculation:
Energy of formation from the pure elements = 1.417 eV per formula unit
Space group = Imm2, No. 44
Calculated volume = 84.8 Å³/f.u.
Electronic total energy = -290.401 eV per cell
Distance to the lowest polymorph of the same formula = 0.000 eV per atom
Magnetic moment = 0.00 μB/f.u.

=====

(15)
Material: Mn4Cr5
Method: DFT, SCAN
State: single point on PBEsol structure

a = 2.786 Å, b = 6.068 Å, c = 6.068 Å
α = 86.98°, β = 76.73°, γ = 76.73°
Sites, in units of the cell vectors:
Mn1 0.668 0.332 0.332
Mn2 0.332 0.668 0.668
Mn3 0.000 0.668 0.332
Mn4 0.000 0.332 0.668
Cr1 0.332 0.000 0.337
Cr2 0.332 0.337 0.000
Cr3 0.668 0.000 0.663
Cr4 0.668 0.663 0.000
Cr5 0.000 0.000 0.000

Values from the calculation:
Energy of formation from the pure elements = 0.564 eV per formula unit
Space group = I4/mmm, No. 139
Calculated volume = 97.2 Å³/f.u.
Electronic total energy = -164.380 eV per cell
Magnetic moment = 4.19 μB/f.u.

=====

(16)
Material: Fe2AgCl
Method: DFT, SCAN
State: single point on PBEsol structure

a = 4.370 Å, b = 4.370 Å, c = 4.370 Å
α = 60.00°, β = 60.00°, γ = 60.00°
Sites, in units of the cell vectors:
Fe1 0.750 0.750 0.750
Fe2 0.000 0.000 0.000
Cl1 0.250 0.250 0.250
Ag1 0.500 0.500 0.500

Values from the calculation:
Space group = F-43m, No. 216
Calculated volume = 59.0 Å³/f.u.
Electronic total energy = -72.774 eV per cell
Distance to the lowest polymorph of the same formula = 0.435 eV per atom
Magnetic moment = 5.85 μB/f.u.
Formation energy from raw total energies = 0.708 eV per atom

=====

(17)
Material: Y2ZrSe
Method: DFT, SCAN
State: single point on PBEsol structure

a = 3.502 Å, b = 3.502 Å, c = 7.950 Å
α = 90.00°, β = 90.00°, γ = 90.00°
Sites, in units of the cell vectors:
Zr1 0.000 0.000 0.552
Se1 0.500 0.500 0.709
Y1 0.000 0.000 0.958
Y2 0.500 0.500 0.281

Values from the calculation:
Space group = P4mm, No. 99
Calculated volume = 97.5 Å³/f.u.
Electronic total energy = -109.025 eV per cell
Magnetic moment = 0.23 μB/f.u.
Formation energy from raw total energies = -0.641 eV per atom

=====

(18)
Material: CaP2Rh
Method: DFT, SCAN
State: single point on PBEsol structure

a = 3.523 Å, b = 4.282 Å, c = 4.282 Å
α = 101.30°, β = 90.00°, γ = 90.00°
Sites, in units of the cell vectors:
Ca1 0.500 0.500 0.500
P1 0.000 0.500 0.000
P2 0.000 0.000 0.500
Rh1 0.500 0.000 0.000

Values from the calculation:
Energy of formation from the pure elements = -1.060 eV per formula unit
Space group = Cmmm, No. 65
Calculated volume = 63.3 Å³/f.u.
Electronic total energy = -65.292 eV per cell
Distance to the lowest polymorph of the same formula = 0.410 eV per atom
Magnetic moment = 0.00 μB/f.u.

=====

(19)
Material: DyInCu2
Method: DFT, SCAN
State: single point on PBEsol structure

a = 4.606 Å, b = 4.606 Å, c = 4.606 Å
α = 60.00°, β = 60.00°, γ = 60.00°
Sites, in units of the cell vectors:
Cu1 0.250 0.250 0.250
Cu2 0.750 0.750 0.750
Dy1 0.500 0.500 0.500
In1 0.000 0.000 0.000

Values from the calculation:
Energy of formation from the pure elements = -1.562 eV per formula unit
Space group = Fm-3m, No. 225
Calculated volume = 69.1 Å³/f.u.
Electronic total energy = -113.144 eV per cell
Magnetic moment = 0.00 μB/f.u.

=====

(20)
Material: Al2GeC
Method: DFT, SCAN
State: single point on PBEsol structure

a = 4.272 Å, b = 4.272 Å, c = 4.272 Å
α = 60.00°, β = 60.00°, γ = 60.00°
Sites, in units of the cell vectors:
Ge1 0.500 0.500 0.500
Al1 0.250 0.250 0.250
Al2 0.750 0.750 0.750
C1 0.000 0.000 0.000

Values from the calculation:
Energy of formation from the pure elements = 4.447 eV per formula unit
Space group = Fm-3m, No. 225
Calculated volume = 55.1 Å³/f.u.
Electronic total energy = -40.244 eV per cell
Magnetic moment = 0.00 μB/f.u.